Run w
The following is a PBE calculation of crystalline Li3AuN at its relaxed geometry, from the Alexandria database.

The value obtained for the size of the total moment is 0.000 μB per atom.

a b c (Å): 3.9745 3.9745 3.9745
angles (deg): 90.00 90.00 90.00
With the nearest neighbours (Å) after each atom.
Fractional positions:
Li (0.0000, 0.0000, 0.5000)  2 N 1.99
Li (0.0000, 0.5000, 0.0000)  2 N 1.99
Li (0.5000, 0.0000, 0.0000)  2 N 1.99
Au (0.5000, 0.5000, 0.5000)  12 Li 2.81
N (0.0000, 0.0000, 0.0000)  6 Li 1.99

Run x
The following is a PBE calculation of crystalline Li3AuN at its relaxed geometry, from the Alexandria database.

The value obtained for the size of the total moment is 0.200 μB per atom.

a b c (Å): 4.7292 4.7292 4.7292
angles (deg): 90.00 90.00 90.00
With the nearest neighbours (Å) after each atom.
Fractional positions:
Li (0.0000, 0.0000, 0.5000)  2 Au 2.36
Li (0.0000, 0.5000, 0.0000)  2 Au 2.36
Li (0.5000, 0.0000, 0.0000)  2 Au 2.36
Au (0.0000, 0.0000, 0.0000)  6 Li 2.36
N (0.5000, 0.5000, 0.5000)  12 Li 3.34

In terms of stability, run w leads; the second structure lies 959 meV per atom higher.

Run w
The following is a PBE calculation of crystalline LiAuN2 at its relaxed geometry, from the Alexandria database.

The value obtained for the size of the total moment is 0.000 μB per atom.

a b c (Å): 5.4399 5.4399 5.4399
angles (deg): 90.00 90.00 90.00
With the nearest neighbours (Å) after each atom.
Fractional positions:
Li (0.0000, 0.0000, 0.0000)  8 N 2.36
Li (0.0000, 0.5000, 0.5000)  8 N 2.36
Li (0.5000, 0.0000, 0.5000)  8 N 2.36
Li (0.5000, 0.5000, 0.0000)  8 N 2.36
Au (0.0000, 0.0000, 0.5000)  8 N 2.36
Au (0.0000, 0.5000, 0.0000)  8 N 2.36
Au (0.5000, 0.0000, 0.0000)  8 N 2.36
Au (0.5000, 0.5000, 0.5000)  8 N 2.36
N (0.2500, 0.2500, 0.2500)  4 Li 2.36, 4 Au 2.36
N (0.2500, 0.2500, 0.7500)  4 Li 2.36, 4 Au 2.36
N (0.2500, 0.7500, 0.2500)  4 Li 2.36, 4 Au 2.36
N (0.2500, 0.7500, 0.7500)  4 Li 2.36, 4 Au 2.36
N (0.7500, 0.2500, 0.2500)  4 Li 2.36, 4 Au 2.36
N (0.7500, 0.2500, 0.7500)  4 Li 2.36, 4 Au 2.36
N (0.7500, 0.7500, 0.2500)  4 Li 2.36, 4 Au 2.36
N (0.7500, 0.7500, 0.7500)  4 Li 2.36, 4 Au 2.36

Run x
The following is a PBE calculation of crystalline LiAuN2 at its relaxed geometry, from the Alexandria database.

The value obtained for the size of the total moment is 0.144 μB per atom.

a b c (Å): 4.6300 4.6300 10.0089
angles (deg): 90.00 90.00 90.00
With the nearest neighbours (Å) after each atom.
Fractional positions:
Li (0.0000, 0.0000, 0.0000)  4 N 2.09
Li (0.0000, 0.5000, 0.2500)  4 N 2.09
Li (0.5000, 0.0000, 0.7500)  4 N 2.09
Li (0.5000, 0.5000, 0.5000)  4 N 2.09
Au (0.0000, 0.0000, 0.5000)  4 N 2.03
Au (0.0000, 0.5000, 0.7500)  4 N 2.03
Au (0.5000, 0.0000, 0.2500)  4 N 2.03
Au (0.5000, 0.5000, 0.0000)  4 N 2.03
N (0.2370, 0.2500, 0.6250)  2 Au 2.03, 2 Li 2.09
N (0.2500, 0.7370, 0.8750)  2 Au 2.03, 2 Li 2.09
N (0.2500, 0.7630, 0.3750)  2 Au 2.03, 2 Li 2.09
N (0.2630, 0.2500, 0.1250)  2 Au 2.03, 2 Li 2.09
N (0.7370, 0.7500, 0.1250)  2 Au 2.03, 2 Li 2.09
N (0.7500, 0.2370, 0.3750)  2 Au 2.03, 2 Li 2.09
N (0.7500, 0.2630, 0.8750)  2 Au 2.03, 2 Li 2.09
N (0.7630, 0.7500, 0.6250)  2 Au 2.03, 2 Li 2.09

In terms of stability, run x leads; the second structure lies 81 meV per atom higher.

Run w
The following is a PBE calculation of crystalline LiAuSN2 at its relaxed geometry, from the Alexandria database.

The value obtained for the size of the total moment is 0.731 μB per atom.

a b c (Å): 4.0386 4.0386 5.4290
angles (deg): 90.00 90.00 90.00
With the nearest neighbours (Å) after each atom.
Fractional positions:
Li (0.0000, 0.0000, 0.0000)  4 S 2.86
Au (0.5000, 0.5000, 0.5000)  4 N 2.02
S (0.5000, 0.5000, 0.0000)  2 Au 2.71, 4 Li 2.86
N (0.0000, 0.5000, 0.5000)  2 Au 2.02
N (0.5000, 0.0000, 0.5000)  2 Au 2.02

Run x
The following is a PBE calculation of crystalline LiAuSN2 at its relaxed geometry, from the Alexandria database.

The value obtained for the size of the total moment is 0.537 μB per atom.

a b c (Å): 3.6218 3.6218 5.5978
angles (deg): 90.00 90.00 90.00
With the nearest neighbours (Å) after each atom.
Fractional positions:
Li (0.0000, 0.0000, 0.0000)  4 N 1.81
Au (0.5000, 0.5000, 0.5000)  4 S 2.56
S (0.0000, 0.0000, 0.5000)  4 Au 2.56, 2 Li 2.80
N (0.0000, 0.5000, 0.0000)  2 Li 1.81
N (0.5000, 0.0000, 0.0000)  2 Li 1.81

In terms of stability, run w leads; the second structure lies 363 meV per atom higher.

Run w
The following is a PBE calculation of crystalline LiAuSe2N at its relaxed geometry, from the Alexandria database.

The value obtained for the size of the total moment is 0.000 μB per atom.

a b c (Å): 5.4505 5.4505 3.7385
angles (deg): 90.00 90.00 90.00
With the nearest neighbours (Å) after each atom.
Fractional positions:
Li (0.0000, 0.0000, 0.0000)  8 Se 3.30
Au (0.5000, 0.5000, 0.5000)  2 N 1.87
Se (0.0000, 0.5000, 0.5000)  2 Au 2.73
Se (0.5000, 0.0000, 0.5000)  2 Au 2.73
N (0.5000, 0.5000, 0.0000)  2 Au 1.87

Run x
The following is a PBE calculation of crystalline LiAuSe2N at its relaxed geometry, from the Alexandria database.

The value obtained for the size of the total moment is 0.489 μB per atom.

a b c (Å): 4.8401 4.8401 3.6690
angles (deg): 90.00 90.00 90.00
With the nearest neighbours (Å) after each atom.
Fractional positions:
Li (0.0000, 0.0000, 0.0000)  2 N 1.83
Au (0.5000, 0.5000, 0.5000)  8 Se 3.04
Se (0.0000, 0.5000, 0.0000)  2 Li 2.42
Se (0.5000, 0.0000, 0.0000)  2 Li 2.42
N (0.0000, 0.0000, 0.5000)  2 Li 1.83

In terms of stability, run w leads; the second structure lies 305 meV per atom higher.